# Ta2CoP, optimized geometry, DFT GGA-PBE
# DFT total energy: -0.684 Ry/atom
# total magnetization: 0.00 μB/f.u.
data_Ta2CoP
_space_group_name_H-M_alt 'C m m 2'
_space_group_IT_number 35
_space_group_name_Hall 'C 2 -2'
_cell_length_a 3.564
_cell_length_b 4.482
_cell_length_c 7.357
_cell_angle_alpha 90.00
_cell_angle_beta 90.00
_cell_angle_gamma 90.00
loop_
_atom_site_label
_atom_site_fract_x
_atom_site_fract_y
_atom_site_fract_z
Ta1 0.000 0.000 0.000
Ta2 0.000 0.500 0.314
Co1 0.000 0.500 0.728
P1 0.000 0.000 0.559